A relaxed structure of Al2Co2Ag, computed with PBE-GGA.

extended XYZ file:
```
10
Lattice="6.935 0.000 0.000 0.000 6.935 0.000 0.000 0.000 2.775" Properties=species:S:1:pos:R:3 pbc="T T T"
Al 0.969 2.499 0.000
Al 2.499 5.966 0.000
Al 4.436 0.969 0.000
Al 5.966 4.436 0.000
Co 1.063 4.530 1.387
Co 2.405 1.063 1.387
Co 4.530 5.872 1.387
Co 5.872 2.405 1.387
Ag 0.000 0.000 0.000
Ag 3.468 3.468 0.000
```

## Properties
- SG = P4/mbm
- relative energy among the computed polymorphs (meV per atom) = 0

***

A relaxed structure of LiZnIn, computed with PBE-GGA.

extended XYZ file:
```
3
Lattice="0.000 3.175 3.175 3.175 0.000 3.175 3.175 3.175 0.000" Properties=species:S:1:pos:R:3 pbc="T T T"
Li 0.000 0.000 0.000
Zn 4.762 4.762 4.762
In 3.175 3.175 3.175
```

## Properties
- SG = F-43m

***

A relaxed structure of CoSi3Pt, computed with PBE-GGA.

extended XYZ file:
```
5
Lattice="4.290 0.000 0.000 0.000 4.290 0.000 0.000 0.000 4.290" Properties=species:S:1:pos:R:3 pbc="T T T"
Co 0.000 0.000 0.000
Si 0.000 0.000 2.145
Si 0.000 2.145 0.000
Si 2.145 0.000 0.000
Pt 2.145 2.145 2.145
```

## Properties
- SG = Pm-3m
- relative energy among the computed polymorphs (meV per atom) = 0
- uncorrected formation energy (eV per atom) = 0.228

***

A relaxed structure of YOsS2, computed with PBE-GGA.

extended XYZ file:
```
4
Lattice="0.000 3.221 3.221 3.221 0.000 3.221 3.221 3.221 0.000" Properties=species:S:1:pos:R:3 pbc="T T T"
Y 0.000 0.000 0.000
Os 3.221 3.221 3.221
S 1.611 1.611 1.611
S 4.832 4.832 4.832
```

## Properties
- SG = Fm-3m
- relative energy among the computed polymorphs (meV per atom) = 289
- uncorrected formation energy (eV per atom) = -0.341

***

A relaxed structure of Ca2MoPt, computed with PBE-GGA.

extended XYZ file:
```
4
Lattice="3.218 -4.461 0.000 3.218 4.461 0.000 0.000 0.000 2.925" Properties=species:S:1:pos:R:3 pbc="T T T"
Ca 1.609 2.230 0.000
Ca 1.609 -2.230 0.000
Mo 0.000 0.000 1.462
Pt 3.218 0.000 1.462
```

## Properties
- SG = Cmmm
- relative energy among the computed polymorphs (meV per atom) = 224

***

A relaxed structure of BeSiP2H, computed with PBE-GGA.

extended XYZ file:
```
5
Lattice="4.055 0.000 0.000 0.000 4.055 0.000 0.000 0.000 4.551" Properties=species:S:1:pos:R:3 pbc="T T T"
Be 0.000 0.000 0.000
Si 0.000 0.000 2.275
P 0.000 2.027 0.000
P 2.027 0.000 0.000
H 2.027 2.027 2.275
```

## Properties
- SG = P4/mmm

***

A relaxed structure of Li5Mg3Pd2, computed with PBE-GGA.

extended XYZ file:
```
20
Lattice="-5.306 6.312 2.700 5.306 -6.312 2.700 5.306 6.312 -2.700" Properties=species:S:1:pos:R:3 pbc="T T T"
Li 1.384 2.045 0.000
Li 2.699 6.312 -1.350
Li 0.000 0.000 1.350
Li 2.607 0.000 1.350
Li 6.691 4.267 0.000
Li -1.384 2.045 2.700
Li 2.699 6.312 1.350
Li 0.000 0.000 4.049
Li 2.607 0.000 4.049
Li 3.922 4.267 2.700
Mg 4.177 2.750 0.000
Mg 5.306 0.000 1.350
Mg 4.177 -2.750 2.700
Mg 1.130 9.062 0.000
Mg 0.000 6.312 1.350
Mg 1.130 3.563 2.700
Pd 6.972 1.861 0.000
Pd 1.665 4.452 0.000
Pd 3.641 1.861 2.700
Pd -1.665 4.452 2.700
```

## Properties
- SG = Ibam

***

A relaxed structure of LiSm2TmHg4, computed with PBE-GGA.

extended XYZ file:
```
8
Lattice="2.599 1.501 8.559 -2.599 1.501 8.559 0.000 -3.001 8.559" Properties=species:S:1:pos:R:3 pbc="T T T"
Li 0.000 0.000 0.000
Sm 0.000 0.000 6.520
Sm 0.000 0.000 19.157
Tm 0.000 0.000 12.839
Hg 0.000 0.000 3.226
Hg 0.000 0.000 9.629
Hg 0.000 0.000 16.049
Hg 0.000 0.000 22.451
```

## Properties
- SG = R-3m

***

A relaxed structure of KSb2Au6, computed with PBE-GGA.

extended XYZ file:
```
9
Lattice="4.793 0.000 0.000 0.000 4.793 0.000 0.000 0.000 9.366" Properties=species:S:1:pos:R:3 pbc="T T T"
K 0.000 0.000 0.000
Sb 2.396 2.396 1.649
Sb 2.396 2.396 7.717
Au 0.000 0.000 4.683
Au 0.000 2.396 3.042
Au 0.000 2.396 6.324
Au 2.396 0.000 3.042
Au 2.396 0.000 6.324
Au 2.396 2.396 4.683
```

## Properties
- SG = P4/mmm
- uncorrected formation energy (eV per atom) = -0.130

***

A relaxed structure of NpSi, computed with PBE-GGA.

extended XYZ file:
```
8
Lattice="2.128 -6.006 0.000 2.128 6.006 0.000 0.000 0.000 6.414" Properties=species:S:1:pos:R:3 pbc="T T T"
Np 2.128 5.302 4.810
Np 2.128 3.269 1.603
Np 2.128 -3.269 4.810
Np 2.128 -5.302 1.603
Si 2.128 1.158 3.592
Si 2.128 1.158 6.029
Si 2.128 -1.158 0.385
Si 2.128 -1.158 2.822
```

## Properties
- SG = Cmcm
- uncorrected formation energy (eV per atom) = -0.156

***

A relaxed structure of LiEr8Al2, computed with PBE-GGA.

extended XYZ file:
```
11
Lattice="8.842 -2.542 0.000 8.842 2.542 0.000 -1.557 0.000 6.582" Properties=species:S:1:pos:R:3 pbc="T T T"
Li 0.000 0.000 0.000
Er 0.968 0.000 3.071
Er 1.321 0.000 6.305
Er 4.247 0.000 4.701
Er 8.076 0.000 1.561
Er 8.051 0.000 5.021
Er 11.879 0.000 1.881
Er 14.805 0.000 0.278
Er 15.158 0.000 3.511
Al 5.019 0.000 1.779
Al 11.107 0.000 4.803
```

## Properties
- SG = C2/m

***

A relaxed structure of HgAsAu, computed with PBE-GGA.

extended XYZ file:
```
3
Lattice="0.000 2.963 7.586 1.446 0.000 7.586 1.446 2.963 0.000" Properties=species:S:1:pos:R:3 pbc="T T T"
Hg 0.000 0.000 0.000
As 1.446 2.963 4.833
Au 1.446 2.963 10.137
```

## Properties
- SG = Fmm2
- relative energy among the computed polymorphs (meV per atom) = 141

***

Calculated total energy values, unit Ry per atom, following the record order: -0.3765; -0.1499; -0.4156; -0.5018; -0.3629; -0.2649; -0.1942; -0.1902; -0.2464; -0.6863; -0.3132; -0.1836.